No. 1
Material: MnAg2Bi
Method: DFT, PBE
State: relaxed

Structure (POSCAR):
```
MnAg2Bi
1.0
4.088 0.000 0.000
0.000 4.088 0.000
0.000 0.000 20.787
Mn Ag Bi
4 8 4
Cartesian
0.000 0.000 0.000
0.000 2.044 5.197
2.044 0.000 15.590
2.044 2.044 10.393
0.972 1.022 2.598
1.022 3.016 7.795
1.022 3.116 18.188
1.072 1.022 12.992
3.016 3.066 12.992
3.066 0.972 18.188
3.066 1.072 7.795
3.116 3.066 2.598
0.000 0.000 10.393
0.000 2.044 15.590
2.044 0.000 5.197
2.044 2.044 0.000
```

Values from the calculation:
- total magnetic moment (μB/f.u.) = 3.948
- final energy (eV/cell) = -69.57
- symmetry = I-42d



No. 2
Material: Mn3AgBi
Method: DFT, PBE
State: relaxed

Structure (POSCAR):
```
Mn3AgBi
1.0
4.910 0.000 0.000
0.000 4.910 0.000
0.000 0.000 4.910
Mn Ag Bi
3 1 1
Cartesian
0.000 0.000 2.455
0.000 2.455 0.000
2.455 0.000 0.000
0.000 0.000 0.000
2.455 2.455 2.455
```

Values from the calculation:
- total magnetic moment (μB/f.u.) = 12.376
- symmetry = Pm-3m
- energy above the lowest structure with this stoichiometry (meV/atom) = 0



No. 3
Material: Na2MnAgBi
Method: DFT, PBE
State: relaxed

Structure (POSCAR):
```
Na2MnAgBi
1.0
5.968 0.000 0.000
0.000 5.968 0.000
0.000 0.000 5.403
Na Mn Ag Bi
2 1 1 1
Cartesian
0.000 2.984 0.000
2.984 0.000 0.000
0.000 0.000 2.702
2.984 2.984 2.702
2.984 2.984 0.000
```

Values from the calculation:
- total magnetic moment (μB/f.u.) = 5.001
- final energy (eV/cell) = -15.43
- symmetry = P4/mmm



No. 4
Material: Mn2AgBiSb
Method: DFT, PBE
State: relaxed

Structure (POSCAR):
```
Mn2AgBiSb
1.0
4.760 0.000 0.000
0.000 4.760 0.000
0.000 0.000 5.864
Mn Ag Bi Sb
2 1 1 1
Cartesian
0.000 2.380 0.000
2.380 0.000 0.000
0.000 0.000 2.932
2.380 2.380 2.932
2.380 2.380 0.000
```

Values from the calculation:
- formation energy from raw total energies (meV/atom) = 1535
- total magnetic moment (μB/f.u.) = 0.543
- symmetry = P4/mmm



No. 5
Material: Mn2AgBiSe
Method: DFT, PBE
State: relaxed

Structure (POSCAR):
```
Mn2AgBiSe
1.0
4.788 0.000 0.000
0.000 4.788 0.000
0.000 0.000 5.096
Mn Ag Bi Se
2 1 1 1
Cartesian
0.000 2.394 0.000
2.394 0.000 0.000
0.000 0.000 2.548
2.394 2.394 2.548
0.000 0.000 0.000
```

Values from the calculation:
- formation energy from raw total energies (meV/atom) = 434
- total magnetic moment (μB/f.u.) = 8.300
- symmetry = P4/mmm



No. 6
Material: MnAgBiTe3
Method: DFT, PBE
State: relaxed

Structure (POSCAR):
```
MnAgBiTe3
1.0
8.081 0.000 0.000
0.000 4.053 0.000
-1.547 0.000 10.492
Mn Ag Bi Te
2 2 2 6
Cartesian
1.172 1.013 1.302
5.362 3.040 9.190
3.276 3.040 4.154
3.258 1.013 6.338
0.764 3.040 6.754
5.770 1.013 3.738
-0.804 1.013 9.003
0.921 1.013 4.491
2.973 3.040 1.384
3.561 1.013 9.108
5.613 3.040 6.001
7.338 3.040 1.489
```

Values from the calculation:
- formation energy from raw total energies (meV/atom) = -58
- total magnetic moment (μB/f.u.) = 3.961
- symmetry = P2_1/m



No. 7
Material: Mn2VAgBi
Method: DFT, PBE
State: relaxed

Structure (POSCAR):
```
Mn2VAgBi
1.0
4.882 0.000 0.000
0.000 4.882 0.000
0.000 0.000 4.852
Mn V Ag Bi
2 1 1 1
Cartesian
0.000 2.441 0.000
2.441 0.000 0.000
0.000 0.000 2.426
0.000 0.000 0.000
2.441 2.441 2.426
```

Values from the calculation:
- total magnetic moment (μB/f.u.) = 8.748
- final energy (eV/cell) = -28.40
- symmetry = P4/mmm



No. 8
Material: YMnAgBi2
Method: DFT, PBE
State: relaxed

Structure (POSCAR):
```
YMnAgBi2
1.0
5.804 0.000 0.000
0.000 5.804 0.000
0.000 0.000 5.422
Y Mn Ag Bi
1 1 1 2
Cartesian
0.000 0.000 0.000
2.902 2.902 2.711
0.000 0.000 2.711
0.000 2.902 0.000
2.902 0.000 0.000
```

Values from the calculation:
- total magnetic moment (μB/f.u.) = 0.553
- final energy (eV/cell) = -19.20
- symmetry = P4/mmm